Version one
A plane-wave DFT calculation with PBE was carried out for a relaxed TaCd3Br crystal.

Calculated values
Density (g/cm3): 6.44
Size of the total moment (Bohr magnetons per cell): 3.37
Density of states at the Fermi level (states/eV/cell): 5.63

a b c (Å): 5.363 5.363 5.363
angles (deg): 90.00 90.00 90.00
Space group Pm-3m (No. 221)
One atom of each set of equivalent atoms:
Ta: 0.000 0.000 0.000 (multiplicity 1)
Cd: 0.000 0.500 0.500 (multiplicity 3)
Br: 0.500 0.500 0.500 (multiplicity 1)

=====

Version two
A plane-wave DFT calculation with PBE was carried out for a relaxed TaCd3Br crystal.

Calculated values
Density (g/cm3): 5.62
Size of the total moment (Bohr magnetons per cell): 2.50
Density of states at the Fermi level (states/eV/cell): 6.08

a b c (Å): 5.612 5.612 5.612
angles (deg): 90.00 90.00 90.00
Space group Pm-3m (No. 221)
One atom of each set of equivalent atoms:
Ta: 0.000 0.000 0.000 (multiplicity 1)
Cd: 0.000 0.000 0.500 (multiplicity 3)
Br: 0.500 0.500 0.500 (multiplicity 1)

=====

Most stable structure: version two

=====

Version one
A plane-wave DFT calculation with PBE was carried out for a relaxed CdTc2Br crystal.

Calculated values
Density (g/cm3): 9.19
Size of the total moment (Bohr magnetons per cell): 0.00
Density of states at the Fermi level (states/eV/cell): 9.84

a b c (Å): 2.954 5.002 9.496
angles (deg): 90.00 90.00 90.00
Space group Immm (No. 71)
One atom of each set of equivalent atoms:
Cd: 0.000 0.000 0.000 (multiplicity 2)
Tc: 0.000 0.500 0.228 (multiplicity 4)
Br: 0.000 0.000 0.500 (multiplicity 2)

=====

Version two
A plane-wave DFT calculation with PBE was carried out for a relaxed CdTc2Br crystal.

Calculated values
Density (g/cm3): 8.98
Size of the total moment (Bohr magnetons per cell): 0.20
Density of states at the Fermi level (states/eV/cell): 4.35

a b c (Å): 2.953 4.889 4.973
angles (deg): 90.00 90.00 90.00
Space group Pmmm (No. 47)
One atom of each set of equivalent atoms:
Cd: 0.000 0.000 0.000 (multiplicity 1)
Tc: 0.000 0.500 0.500 (multiplicity 1)
Tc: 0.500 0.500 0.000 (multiplicity 1)
Br: 0.500 0.000 0.500 (multiplicity 1)

=====

Version three
A plane-wave DFT calculation with PBE was carried out for a relaxed CdTc2Br crystal.

Calculated values
Density (g/cm3): 8.40
Size of the total moment (Bohr magnetons per cell): 0.00
Density of states at the Fermi level (states/eV/cell): 2.50

a b c (Å): 3.043 3.043 8.287
angles (deg): 90.00 90.00 90.00
Space group P4mm (No. 99)
One atom of each set of equivalent atoms:
Cd: 0.000 0.000 0.000 (multiplicity 1)
Tc: 0.000 0.000 0.414 (multiplicity 1)
Tc: 0.500 0.500 0.240 (multiplicity 1)
Br: 0.500 0.500 0.650 (multiplicity 1)

=====

Most stable structure: version three

=====

Version one
A plane-wave DFT calculation with PBE was carried out for a relaxed CdTc2Br crystal.

Calculated values
Density (g/cm3): 7.08
Size of the total moment (Bohr magnetons per cell): 0.56
Density of states at the Fermi level (states/eV/cell): 7.05

a b c (Å): 3.367 4.766 11.355
angles (deg): 90.00 90.00 90.00
Space group Imm2 (No. 44)
One atom of each set of equivalent atoms:
Cd: 0.000 0.000 0.000 (multiplicity 2)
Tc: 0.000 0.000 0.506 (multiplicity 2)
Tc: 0.000 0.500 0.867 (multiplicity 2)
Br: 0.000 0.500 0.220 (multiplicity 2)

=====

Version two
A plane-wave DFT calculation with PBE was carried out for a relaxed CdTc2Br crystal.

Calculated values
Density (g/cm3): 8.89
Size of the total moment (Bohr magnetons per cell): 0.00
Density of states at the Fermi level (states/eV/cell): 10.66

a b c (Å): 3.894 3.894 9.567
angles (deg): 90.00 90.00 90.00
Space group I4/mmm (No. 139)
One atom of each set of equivalent atoms:
Cd: 0.000 0.000 0.000 (multiplicity 2)
Tc: 0.000 0.500 0.250 (multiplicity 4)
Br: 0.000 0.000 0.500 (multiplicity 2)

=====

Version three
A plane-wave DFT calculation with PBE was carried out for a relaxed CdTc2Br crystal.

Calculated values
Density (g/cm3): 9.54
Size of the total moment (Bohr magnetons per cell): 2.40
Density of states at the Fermi level (states/eV/cell): 24.84

a b c (Å): 6.466 6.466 6.466
angles (deg): 90.00 90.00 90.00
Space group Fm-3m (No. 225)
One atom of each set of equivalent atoms:
Cd: 0.000 0.000 0.000 (multiplicity 4)
Tc: 0.250 0.250 0.250 (multiplicity 8)
Br: 0.000 0.000 0.500 (multiplicity 4)

=====

Most stable structure: version one

=====

Version one
A plane-wave DFT calculation with PBE was carried out for a relaxed CdTc2Br crystal.

Calculated values
Density (g/cm3): 9.22
Size of the total moment (Bohr magnetons per cell): 0.00
Density of states at the Fermi level (states/eV/cell): 6.49

a b c (Å): 4.298 4.298 7.570
angles (deg): 90.00 90.00 90.00
Space group I-4m2 (No. 119)
One atom of each set of equivalent atoms:
Cd: 0.000 0.000 0.000 (multiplicity 2)
Tc: 0.000 0.000 0.500 (multiplicity 2)
Tc: 0.000 0.500 0.750 (multiplicity 2)
Br: 0.000 0.500 0.250 (multiplicity 2)

=====

Version two
A plane-wave DFT calculation with PBE was carried out for a relaxed CdTc2Br crystal.

Calculated values
Density (g/cm3): 9.02
Size of the total moment (Bohr magnetons per cell): 4.04
Density of states at the Fermi level (states/eV/cell): 7.44

a b c (Å): 2.942 5.230 9.296
angles (deg): 90.00 90.00 90.00
Space group Cmmm (No. 65)
One atom of each set of equivalent atoms:
Cd: 0.000 0.000 0.000 (multiplicity 2)
Tc: 0.000 0.500 0.262 (multiplicity 4)
Br: 0.000 0.000 0.500 (multiplicity 2)

=====

Version three
A plane-wave DFT calculation with PBE was carried out for a relaxed CdTc2Br crystal.

Calculated values
Density (g/cm3): 8.52
Size of the total moment (Bohr magnetons per cell): 0.00
Density of states at the Fermi level (states/eV/cell): 5.36

a b c (Å): 2.9585 2.9585 29.9519
angles (deg): 90.00 90.00 120.00
Space group R3m (No. 160, hexagonal axes)
One atom of each set of equivalent atoms:
Cd: 0.0000 0.0000 0.0000 (multiplicity 3)
Tc: 0.0000 0.0000 0.4818 (multiplicity 3)
Tc: 0.0000 0.0000 0.7487 (multiplicity 3)
Br: 0.0000 0.0000 0.2181 (multiplicity 3)

=====

Version four
A plane-wave DFT calculation with PBE was carried out for a relaxed CdTc2Br crystal.

Calculated values
Density (g/cm3): 9.42
Size of the total moment (Bohr magnetons per cell): 5.16
Density of states at the Fermi level (states/eV/cell): 10.70

a b c (Å): 2.9901 2.9901 26.5251
angles (deg): 90.00 90.00 120.00
Space group R-3m (No. 166, hexagonal axes)
One atom of each set of equivalent atoms:
Cd: 0.0000 0.0000 0.0000 (multiplicity 3)
Tc: 0.0000 0.0000 0.2444 (multiplicity 6)
Br: 0.0000 0.0000 0.5000 (multiplicity 3)

=====

Most stable structure: version three

=====

Version one
A plane-wave DFT calculation with PBE was carried out for a relaxed CdTc2Br crystal.

Calculated values
Density (g/cm3): 8.95
Size of the total moment (Bohr magnetons per cell): 0.76
Density of states at the Fermi level (states/eV/cell): 4.82

a b c (Å): 3.937 3.937 4.650
angles (deg): 90.00 90.00 90.00
Space group P4/mmm (No. 123)
One atom of each set of equivalent atoms:
Cd: 0.000 0.000 0.000 (multiplicity 1)
Tc: 0.000 0.500 0.500 (multiplicity 2)
Br: 0.500 0.500 0.000 (multiplicity 1)

=====

Version two
A plane-wave DFT calculation with PBE was carried out for a relaxed CdTc2Br crystal.

Calculated values
Density (g/cm3): 9.57
Size of the total moment (Bohr magnetons per cell): 0.00
Density of states at the Fermi level (states/eV/cell): 5.26

a b c (Å): 4.629 4.629 3.145
angles (deg): 90.00 90.00 90.00
Space group P4/mmm (No. 123)
One atom of each set of equivalent atoms:
Cd: 0.000 0.000 0.000 (multiplicity 1)
Tc: 0.000 0.500 0.500 (multiplicity 2)
Br: 0.500 0.500 0.000 (multiplicity 1)

=====

Version three
A plane-wave DFT calculation with PBE was carried out for a relaxed CdTc2Br crystal.

Calculated values
Density (g/cm3): 9.16
Size of the total moment (Bohr magnetons per cell): 0.00
Density of states at the Fermi level (states/eV/cell): 9.69

a b c (Å): 8.883 2.979 5.436
angles (deg): 90.00 101.68 90.00
Space group C2/m (No. 12)
One atom of each set of equivalent atoms:
Cd: 0.000 0.000 0.000 (multiplicity 2)
Tc: 0.249 0.000 0.705 (multiplicity 4)
Br: 0.000 0.500 0.500 (multiplicity 2)

=====

Most stable structure: version three